This record from the Alexandria database describes a relaxed AlIn2Ir crystal. The functional is GGA-PBEsol.

a b c (Å): 3.235 4.859 4.859
angles (deg): 111.20 90.00 90.00
Fractional coordinates of all 4 atoms:
Al1 0.500 0.500 0.500
In1 0.000 0.500 0.000
Ir1 0.500 0.000 0.000
In2 0.000 0.000 0.500

Results
Its total energy is -4.89 eV/atom. The space group is Cmmm. The calculation puts the magnetic moment at 0.0 μB/f.u.